TbAs2Rh5: optimized geometry, PBE.

Calculated values
The value obtained for the formation energy is -0.625 eV/atom. The calculated density is 10.3 g/cm³.

a b c (Å): 3.902 7.019 9.695
angles (deg): 90.00 90.00 90.00
Space group Immm (No. 71)
Symmetry-distinct sites (fractional):
Tb (0.000, 0.000, 0.000) (multiplicity 2)
As (0.000, 0.500, 0.248) (multiplicity 4)
Rh (0.000, 0.199, 0.356) (multiplicity 8)
Rh (0.000, 0.500, 0.000) (multiplicity 2)